A plane-wave DFT calculation with PBE was carried out for crystalline BaLiW2 at its relaxed geometry.

Computed properties:
The calculation puts the raw total energy at -6.22 eV per atom. As for the total magnetization: 0.137 μB/atom. As for the volume: 20.04 Å³ per atom. For the energy of formation, the calculation gives 4.86 eV/f.u. The calculation puts the relative energy among the computed polymorphs at 2.094 eV per formula unit. The symmetry is F-43m.

a = 4.8395 Å, b = 4.8395 Å, c = 4.8395 Å
α = 60.00°, β = 60.00°, γ = 60.00°
Closest atoms and distances in Å follow each position.
Positions (direct):
Ba  0.0000  0.0000  0.0000  4 W 2.96, 4 Li 2.96
Li  0.2500  0.2500  0.2500  4 Ba 2.96, 4 W 2.96
W  0.5000  0.5000  0.5000  4 W 2.96, 4 Li 2.96
W  0.7500  0.7500  0.7500  4 Ba 2.96, 4 W 2.96